Entry 1:
Density functional theory data (PBE-GGA) for an optimized crystal structure of Dy3OsPd2.

Geometry as POSCAR:
```
Dy3OsPd2
1.0
2.444 -7.325 0.000
2.444 7.325 0.000
0.000 0.000 7.016
Dy Os Pd
6 2 4
Direct
0.000 0.000 0.243 Dy
0.000 0.000 0.757 Dy
0.330 0.670 0.240 Dy
0.330 0.670 0.760 Dy
0.670 0.330 0.240 Dy
0.670 0.330 0.760 Dy
0.165 0.835 0.000 Os
0.835 0.165 0.000 Os
0.166 0.834 0.500 Pd
0.500 0.500 0.000 Pd
0.500 0.500 0.500 Pd
0.834 0.166 0.500 Pd
```

Calculated values
E_form = -0.673 eV per atom
VASP energy = -6.58 eV/atom

Entry 2:
Density functional theory data (PBE-GGA) for an optimized crystal structure of PmDyOsPd.

Geometry as POSCAR:
```
PmDyOsPd
1.0
0.000 3.494 3.494
3.494 0.000 3.494
3.494 3.494 0.000
Pm Dy Os Pd
1 1 1 1
Direct
0.000 0.000 0.000 Pm
0.500 0.500 0.500 Dy
0.750 0.750 0.750 Os
0.250 0.250 0.250 Pd
```

Calculated values
E_form = -0.444 eV per atom
VASP energy = -6.89 eV/atom

Entry 3:
Density functional theory data (PBE-GGA) for an optimized crystal structure of PrDyOsPd.

Geometry as POSCAR:
```
PrDyOsPd
1.0
0.000 3.522 3.522
3.522 0.000 3.522
3.522 3.522 0.000
Pr Dy Os Pd
1 1 1 1
Direct
0.000 0.000 0.000 Pr
0.500 0.500 0.500 Dy
0.750 0.750 0.750 Os
0.250 0.250 0.250 Pd
```

Calculated values
E_form = -0.386 eV per atom
VASP energy = -6.84 eV/atom

Entry 4:
Density functional theory data (PBE-GGA) for an optimized crystal structure of DyPuOsPd.

Geometry as POSCAR:
```
DyPuOsPd
1.0
0.000 3.445 3.445
3.445 0.000 3.445
3.445 3.445 0.000
Dy Pu Os Pd
1 1 1 1
Direct
0.000 0.000 0.000 Dy
0.500 0.500 0.500 Pu
0.250 0.250 0.250 Os
0.750 0.750 0.750 Pd
```

Calculated values
E_form = -0.327 eV per atom
VASP energy = -9.17 eV/atom

Entry 5:
Density functional theory data (PBE-GGA) for an optimized crystal structure of DyYOsPd.

Geometry as POSCAR:
```
DyYOsPd
1.0
0.000 3.452 3.452
3.452 0.000 3.452
3.452 3.452 0.000
Dy Y Os Pd
1 1 1 1
Direct
0.000 0.000 0.000 Dy
0.500 0.500 0.500 Y
0.750 0.750 0.750 Os
0.250 0.250 0.250 Pd
```

Calculated values
E_form = -0.526 eV per atom
VASP energy = -7.40 eV/atom

Entry 6:
Density functional theory data (PBE-GGA) for an optimized crystal structure of DyZrOsPd.

Geometry as POSCAR:
```
DyZrOsPd
1.0
0.000 3.381 3.381
3.381 0.000 3.381
3.381 3.381 0.000
Dy Zr Os Pd
1 1 1 1
Direct
0.000 0.000 0.000 Dy
0.500 0.500 0.500 Zr
0.750 0.750 0.750 Os
0.250 0.250 0.250 Pd
```

Calculated values
E_form = -0.535 eV per atom
VASP energy = -7.93 eV/atom

Entry 7:
Density functional theory data (PBE-GGA) for an optimized crystal structure of PmDyOs.

Geometry as POSCAR:
```
PmDyOs
1.0
-1.716 1.716 6.737
1.716 -1.716 6.737
1.716 1.716 -6.737
Pm Dy Os
1 1 1
Direct
0.000 0.000 0.000 Pm
0.751 0.751 0.000 Dy
0.371 0.371 0.000 Os
```

Calculated values
E_form = -0.148 eV per atom
excess energy over the best structure of this formula in the dataset = 0 meV per atom
VASP energy = -7.01 eV/atom

Entry 8:
Density functional theory data (PBE-GGA) for an optimized crystal structure of PmDy2Os.

Geometry as POSCAR:
```
PmDy2Os
1.0
1.991 -6.070 0.000
1.991 6.070 0.000
0.000 0.000 9.084
Pm Dy Os
2 4 2
Direct
0.074 0.926 0.750 Pm
0.926 0.074 0.250 Pm
0.353 0.647 0.568 Dy
0.353 0.647 0.932 Dy
0.647 0.353 0.068 Dy
0.647 0.353 0.432 Dy
0.256 0.744 0.250 Os
0.744 0.256 0.750 Os
```

Calculated values
E_form = -0.198 eV per atom
excess energy over the best structure of this formula in the dataset = 16 meV per atom
VASP energy = -6.49 eV/atom

Entry 9:
Density functional theory data (PBE-GGA) for an optimized crystal structure of PmDyOs.

Geometry as POSCAR:
```
PmDyOs
1.0
0.000 3.419 3.419
3.419 0.000 3.419
3.419 3.419 0.000
Pm Dy Os
1 1 1
Direct
0.000 0.000 0.000 Pm
0.500 0.500 0.500 Dy
0.250 0.250 0.250 Os
```

Calculated values
E_form = -0.140 eV per atom
excess energy over the best structure of this formula in the dataset = 8 meV per atom
VASP energy = -7.00 eV/atom

Entry 10:
Density functional theory data (PBE-GGA) for an optimized crystal structure of PmDy2Os.

Geometry as POSCAR:
```
PmDy2Os
1.0
1.736 1.002 10.962
-1.736 1.002 10.962
0.000 -2.004 10.962
Pm Dy Os
1 2 1
Direct
0.000 0.000 0.000 Pm
0.107 0.107 0.107 Dy
0.893 0.893 0.893 Dy
0.500 0.500 0.500 Os
```

Calculated values
E_form = 0.259 eV per atom
excess energy over the best structure of this formula in the dataset = 473 meV per atom
VASP energy = -6.04 eV/atom

Entry 11:
Density functional theory data (PBE-GGA) for an optimized crystal structure of PmDy2Os.

Geometry as POSCAR:
```
PmDy2Os
1.0
3.417 0.000 0.000
0.000 3.417 0.000
0.000 0.000 9.302
Pm Dy Os
1 2 1
Direct
0.000 0.000 0.000 Pm
0.500 0.500 0.322 Dy
0.500 0.500 0.678 Dy
0.000 0.000 0.500 Os
```

Calculated values
E_form = -0.125 eV per atom
excess energy over the best structure of this formula in the dataset = 90 meV per atom
VASP energy = -6.42 eV/atom

Entry 12:
Density functional theory data (PBE-GGA) for an optimized crystal structure of PmDyOs.

Geometry as POSCAR:
```
PmDyOs
1.0
3.436 0.000 0.000
0.009 6.842 0.000
1.704 1.741 6.767
Pm Dy Os
2 2 2
Direct
0.126 0.066 0.247 Pm
0.874 0.934 0.753 Pm
0.121 0.561 0.256 Dy
0.879 0.439 0.744 Dy
0.500 0.254 0.501 Os
0.500 0.746 0.499 Os
```

Calculated values
E_form = -0.146 eV per atom
excess energy over the best structure of this formula in the dataset = 2 meV per atom
VASP energy = -7.01 eV/atom